{"formula": "Eu2ZrVO6", "functional": "GGA+U", "state": "optimized geometry", "lattice": [[0.0000, 4.0404, 4.0404], [4.0404, 0.0000, 4.0404], [4.0404, 4.0404, 0.0000]], "species": ["Eu", "Eu", "Zr", "V", "O", "O", "O", "O", "O", "O"], "frac_coords": [[0.2500, 0.2500, 0.2500], [0.7500, 0.7500, 0.7500], [0.0000, 0.0000, 0.0000], [0.5000, 0.5000, 0.5000], [0.2576, 0.2576, 0.7424], [0.2576, 0.7424, 0.2576], [0.2576, 0.7424, 0.7424], [0.7424, 0.2576, 0.2576], [0.7424, 0.2576, 0.7424], [0.7424, 0.7424, 0.2576]], "total_energy_ev_per_atom": -9.4276, "space_group": "No. 225"}